Computed, not measured: a relaxed Dy6BiTe2 crystal at the GGA-PBE level of DFT.

Calculated density ... 8.755 g/cm3
Formation energy (no corrections) ... -662 meV per atom
Space group ... C2/m (12)
N(E_F) ... 7.47 states/eV/f.u.

```
9
Lattice="6.530 -3.010 0.000 6.530 3.010 0.000 -6.222 0.000 6.944" Properties=species:S:1:pos:R:3 pbc="T T T"
Dy -0.683 0.000 1.564
Dy -1.130 0.000 5.963
Dy 1.825 0.000 4.062
Dy 5.012 0.000 2.882
Dy 7.968 0.000 0.980
Dy 7.520 0.000 5.379
Bi -3.111 0.000 3.472
Te 2.453 0.000 0.960
Te 4.385 0.000 5.984
```